Material: KCrSb2
Method: DFT, GGA-PBE
State: optimized geometry

Output
The uncorrected formation energy comes out at 110 kJ/mol of formula units.

a b c (Å): 4.7887 4.7887 4.6084
angles (deg): 90.00 90.00 90.00
Closest atoms and distances in Å follow each position.
Sites, in units of the cell vectors:
K1 0.0000 0.0000 0.0000  8 Sb 3.32, 4 Cr 3.39
Cr1 0.5000 0.5000 0.0000  8 Sb 3.32, 4 K 3.39
Sb1 0.0000 0.5000 0.5000  4 Cr 3.32, 4 K 3.32, 4 Sb 3.39
Sb2 0.5000 0.0000 0.5000  4 Cr 3.32, 4 K 3.32, 4 Sb 3.39

=====

Material: KPm2Au2O6
Method: DFT, GGA-PBE
State: optimized geometry

Output
The uncorrected formation energy comes out at -1735 kJ/mol of formula units.

a b c (Å): 6.1233 6.3248 6.8629
angles (deg): 117.00 97.86 107.21
Closest atoms and distances in Å follow each position.
Sites, in units of the cell vectors:
K1 0.0000 0.0000 0.0000  2 O 2.59
Pm1 0.0196 0.3390 0.6819  6 O 2.30-2.47
Pm2 0.9804 0.6610 0.3181  6 O 2.30-2.47
Au1 0.4545 0.0414 0.8220  3 O 2.00-2.10
Au2 0.5455 0.9586 0.1780  3 O 2.00-2.10
O1 0.1436 0.7214 0.6771  1 Au 2.02
O2 0.2232 0.6766 0.0820  1 Au 2.00
O3 0.2623 0.1155 0.5998  1 Au 2.10, 1 Pm 2.30
O4 0.7377 0.8845 0.4002  1 Au 2.10, 1 Pm 2.30
O5 0.7768 0.3234 0.9180  1 Au 2.00
O6 0.8564 0.2786 0.3229  1 Au 2.02

=====

Material: La2PuGe4Ir3
Method: DFT, GGA-PBE
State: optimized geometry

Output
The formation energy is -0.669 eV/atom.

a b c (Å): 4.3224 4.3224 11.2026
angles (deg): 90.00 90.00 90.00
Closest atoms and distances in Å follow each position.
Sites, in units of the cell vectors:
La1 0.0000 0.5000 0.2307  8 Ge 3.26-3.37, 4 Ir 3.33
La2 0.5000 0.0000 0.7693  8 Ge 3.26-3.37, 4 Ir 3.33
Pu1 0.0000 0.0000 0.5000  4 Ge 2.87, 4 Ir 3.06
Ge1 0.0000 0.0000 0.0000  4 Ir 2.51
Ge2 0.0000 0.5000 0.6692  1 Ir 2.44
Ge3 0.5000 0.0000 0.3308  1 Ir 2.44
Ge4 0.5000 0.5000 0.0000  4 Ir 2.51
Ir1 0.0000 0.5000 0.8868  5 Ge 2.44-2.51
Ir2 0.5000 0.0000 0.1132  5 Ge 2.44-2.51
Ir3 0.5000 0.5000 0.5000  4 Ge 2.87, 4 Pu 3.06

=====

Across the entries above, uncorrected energy takes the values -4.46, -5.90, -7.59 eV per atom, respectively.
Across the entries above, calculated density takes the values 5.258, 6.342, 11.020 Mg/m³, respectively.